Version 1
VASP calculation (GGA-PBE) on an optimized crystal structure of CsZr3Ir.

Lattice parameters (Å, degrees): 5.2676 5.2676 5.2676 90.00 90.00 90.00
Element x y z (fractional)
Cs (0.5000, 0.5000, 0.5000)
Zr (0.5000, 0.0000, 0.0000)
Zr (0.0000, 0.0000, 0.5000)
Zr (0.0000, 0.5000, 0.0000)
Ir (0.0000, 0.0000, 0.0000)

Results
Size of the total moment   0.00 μB per formula unit
Crystal system   cubic
Fermi-level density of states   10.00 states/eV/cell
Mass density   6.80 Mg/m³
Symmetry   Pm-3m (221)
Calculated volume   146 Å³ per cell

***

Version 2
VASP calculation (GGA-PBE) on an optimized crystal structure of CsZr3Ir.

Lattice parameters (Å, degrees): 5.1297 5.1297 5.1297 90.00 90.00 90.00
Element x y z (fractional)
Zr (0.0000, 0.5000, 0.0000)
Zr (0.5000, 0.0000, 0.0000)
Zr (0.0000, 0.0000, 0.5000)
Cs (0.0000, 0.0000, 0.0000)
Ir (0.5000, 0.5000, 0.5000)

Results
Size of the total moment   0.00 μB per formula unit
Crystal system   cubic
Fermi-level density of states   8.95 states/eV/cell
Mass density   7.37 Mg/m³
Symmetry   Pm-3m (221)
Calculated volume   135 Å³ per cell

***

The least stable of them is version 2.

***

Version 1
VASP calculation (GGA-PBE) on an optimized crystal structure of Cs2Zr2Ir.

Lattice parameters (Å, degrees): 6.9208 6.9208 6.8960 90.00 90.00 90.00
Element x y z (fractional)
Ir (0.5000, 0.5000, 0.0000)
Ir (0.0000, 0.0000, 0.0000)
Zr (0.3384, 0.8384, 0.0000)
Zr (0.6616, 0.1616, 0.0000)
Zr (0.1616, 0.3384, 0.0000)
Zr (0.8384, 0.6616, 0.0000)
Cs (0.2840, 0.2160, 0.5000)
Cs (0.7840, 0.2840, 0.5000)
Cs (0.2160, 0.7160, 0.5000)
Cs (0.7160, 0.7840, 0.5000)

Results
Size of the total moment   0.00 μB per formula unit
Crystal system   tetragonal
Fermi-level density of states   12.57 states/eV/cell
Mass density   6.44 Mg/m³
Symmetry   P4/mbm (127)
Calculated volume   330 Å³ per cell

***

Version 2
VASP calculation (GGA-PBE) on an optimized crystal structure of Cs2Zr2Ir.

Lattice parameters (Å, degrees): 4.2198 4.2198 9.5883 77.29 77.29 90.00
Element x y z (fractional)
Ir (0.0000, 0.0000, 0.0000)
Zr (0.5676, 0.5676, 0.8649)
Zr (0.4324, 0.4324, 0.1351)
Cs (0.7500, 0.2500, 0.5000)
Cs (0.2500, 0.7500, 0.5000)

Results
Size of the total moment   0.00 μB per formula unit
Crystal system   tetragonal
Fermi-level density of states   8.06 states/eV/cell
Mass density   6.55 Mg/m³
Symmetry   I4/mmm (139)
Calculated volume   162 Å³ per cell

***

The least stable of them is version 2.

***

Version 1
VASP calculation (GGA-PBE) on an optimized crystal structure of CsZrIr2.

Lattice parameters (Å, degrees): 7.7844 7.7844 6.3104 51.92 51.92 90.00
Element x y z (fractional)
Ir (0.8750, 0.8345, 0.7500)
Ir (0.5845, 0.1250, 0.2500)
Ir (0.1655, 0.6250, 0.2500)
Ir (0.3750, 0.4155, 0.7500)
Zr (0.2500, 0.7500, 0.5000)
Zr (0.5000, 0.5000, 0.0000)
Cs (0.0000, 0.0000, 0.0000)
Cs (0.7500, 0.2500, 0.5000)

Results
Size of the total moment   0.00 μB per formula unit
Crystal system   tetragonal
Fermi-level density of states   4.56 states/eV/cell
Mass density   10.81 Mg/m³
Symmetry   I-42d (122)
Calculated volume   187 Å³ per cell

***

Version 2
VASP calculation (GGA-PBE) on an optimized crystal structure of CsZrIr2.

Lattice parameters (Å, degrees): 4.9368 4.9368 4.9368 60.00 60.00 60.00
Element x y z (fractional)
Ir (0.7500, 0.7500, 0.7500)
Ir (0.2500, 0.2500, 0.2500)
Cs (0.5000, 0.5000, 0.5000)
Zr (0.0000, 0.0000, 0.0000)

Results
Size of the total moment   0.00 μB per formula unit
Crystal system   cubic
Fermi-level density of states   7.31 states/eV/cell
Mass density   11.88 Mg/m³
Symmetry   Fm-3m (225)
Calculated volume   85 Å³ per cell

***

The least stable of them is version 2.

***

Version 1
VASP calculation (GGA-PBE) on an optimized crystal structure of Cs3K7.

Lattice parameters (Å, degrees): 6.9200 9.8900 13.0168 101.66 105.41 90.00
Element x y z (fractional)
Cs (0.8015, 0.3915, 0.6030)
Cs (0.0000, 0.0000, 0.0000)
Cs (0.1985, 0.6085, 0.3970)
K (0.1985, 0.0958, 0.3971)
K (0.6019, 0.8090, 0.2039)
K (0.4053, 0.6948, 0.8106)
K (0.8015, 0.9042, 0.6029)
K (0.5947, 0.3052, 0.1894)
K (0.3981, 0.1910, 0.7961)
K (0.0000, 0.5000, 0.0000)

Results
Size of the total moment   0.00 μB per formula unit
Crystal system   monoclinic
Fermi-level density of states   9.70 states/eV/cell
Mass density   1.33 Mg/m³
Symmetry   C2/m (12)
Calculated volume   840 Å³ per cell

***

Version 2
VASP calculation (GGA-PBE) on an optimized crystal structure of Cs3K7.

Lattice parameters (Å, degrees): 8.1691 15.7123 15.7123 120.00 90.00 90.00
Element x y z (fractional)
K (0.9548, 0.6667, 0.3333)
K (0.3667, 0.7920, 0.8960)
K (0.2573, 0.4724, 0.5276)
K (0.8667, 0.8960, 0.1040)
K (0.3667, 0.1040, 0.2080)
K (0.8667, 0.2080, 0.1040)
K (0.7573, 0.5276, 0.0551)
K (0.4548, 0.3333, 0.6667)
K (0.8667, 0.8960, 0.7920)
K (0.2573, 0.4724, 0.9449)
K (0.7573, 0.9449, 0.4724)
K (0.3667, 0.1040, 0.8960)
K (0.7573, 0.5276, 0.4724)
K (0.2573, 0.0551, 0.5276)
Cs (0.3603, 0.7906, 0.2094)
Cs (0.8603, 0.2094, 0.4188)
Cs (0.8603, 0.2094, 0.7906)
Cs (0.3603, 0.7906, 0.5812)
Cs (0.8603, 0.5812, 0.7906)
Cs (0.3603, 0.4188, 0.2094)

Results
Size of the total moment   0.00 μB per formula unit
Crystal system   hexagonal
Fermi-level density of states   16.95 states/eV/cell
Mass density   1.28 Mg/m³
Symmetry   P6_3mc (186)
Calculated volume   1747 Å³ per cell

***

The least stable of them is version 2.